# 1
Computed, not measured: a geometry-optimized La3PRh structure at the PBE level of DFT.

Geometry as CIF:
```
data_La3PRh
_symmetry_space_group_name_H-M 'P m -3 m'
_symmetry_Int_Tables_number 221
_symmetry_space_group_name_Hall '-P 4 2 3'
_cell_length_a 5.435
_cell_length_b 5.435
_cell_length_c 5.435
_cell_angle_alpha 90.00
_cell_angle_beta 90.00
_cell_angle_gamma 90.00
loop_
_atom_site_label
_atom_site_type_symbol
_atom_site_fract_x
_atom_site_fract_y
_atom_site_fract_z
La1 La 0.000 0.000 0.500
P1 P 0.500 0.500 0.500
Rh1 Rh 0.000 0.000 0.000
```

Output
- magnetization (μB/cell) = 0.00
- excess energy over the best structure of this formula in the dataset (meV/atom) = 0.0
- uncorrected energy (eV per atom) = -5.862
- formation energy from the elements (meV per atom) = -354



# 2
Computed, not measured: a geometry-optimized CoTe2N structure at the PBE level of DFT.

Geometry as CIF:
```
data_CoTe2N
_symmetry_space_group_name_H-M 'R -3 m'
_symmetry_Int_Tables_number 166
_symmetry_space_group_name_Hall '-R 3 2"'
_cell_length_a 3.3015
_cell_length_b 3.3015
_cell_length_c 24.4164
_cell_angle_alpha 90.00
_cell_angle_beta 90.00
_cell_angle_gamma 120.00
loop_
_atom_site_label
_atom_site_type_symbol
_atom_site_fract_x
_atom_site_fract_y
_atom_site_fract_z
Co1 Co 0.0000 0.0000 0.0000
Te1 Te 0.0000 0.0000 0.1003
N1 N 0.0000 0.0000 0.5000
```

Output
- magnetization (μB/cell) = 4.09
- uncorrected energy (eV per atom) = -4.210
- energy relative to the elements, uncorrected (eV/atom) = 1.22



# 3
Computed, not measured: a geometry-optimized Pr4Dy3Y structure at the PBE level of DFT.

Geometry as CIF:
```
data_Pr4Dy3Y
_symmetry_space_group_name_H-M 'P m n 21'
_symmetry_Int_Tables_number 31
_cell_length_a 11.712
_cell_length_b 7.368
_cell_length_c 6.350
_cell_angle_alpha 90.00
_cell_angle_beta 90.00
_cell_angle_gamma 90.00
loop_
_symmetry_equiv_pos_as_xyz
'x,y,z'
'-x+1/2,-y,z+1/2'
'-x,y,z'
'x+1/2,-y,z+1/2'
loop_
_atom_site_label
_atom_site_type_symbol
_atom_site_fract_x
_atom_site_fract_y
_atom_site_fract_z
Pr1 Pr 0.000 0.127 0.000
Pr2 Pr 0.000 0.872 0.503
Pr3 Pr 0.249 0.129 0.337
Dy1 Dy 0.000 0.380 0.503
Dy2 Dy 0.250 0.379 0.837
Y1 Y 0.000 0.621 0.005
```

Output
- magnetization (μB/cell) = 0.00
- excess energy over the best structure of this formula in the dataset (meV/atom) = 20.8
- uncorrected energy (eV per atom) = -4.894
- formation energy from the elements (meV per atom) = 30



# 4
Computed, not measured: a geometry-optimized NbCN3 structure at the PBE level of DFT.

Geometry as CIF:
```
data_NbCN3
_symmetry_space_group_name_H-M 'P m -3 m'
_symmetry_Int_Tables_number 221
_symmetry_space_group_name_Hall '-P 4 2 3'
_cell_length_a 3.383
_cell_length_b 3.383
_cell_length_c 3.383
_cell_angle_alpha 90.00
_cell_angle_beta 90.00
_cell_angle_gamma 90.00
loop_
_atom_site_label
_atom_site_type_symbol
_atom_site_fract_x
_atom_site_fract_y
_atom_site_fract_z
Nb1 Nb 0.000 0.000 0.000
C1 C 0.500 0.500 0.500
N1 N 0.000 0.500 0.500
```

Output
- magnetization (μB/cell) = 0.00
- uncorrected energy (eV per atom) = -7.384
- energy relative to the elements, uncorrected (eV/atom) = 1.47



# 5
Computed, not measured: a geometry-optimized LiVH2 structure at the PBE level of DFT.

Geometry as CIF:
```
data_LiVH2
_symmetry_space_group_name_H-M 'R -3 m'
_symmetry_Int_Tables_number 166
_symmetry_space_group_name_Hall '-R 3 2"'
_cell_length_a 2.7270
_cell_length_b 2.7270
_cell_length_c 14.4317
_cell_angle_alpha 90.00
_cell_angle_beta 90.00
_cell_angle_gamma 120.00
loop_
_atom_site_label
_atom_site_type_symbol
_atom_site_fract_x
_atom_site_fract_y
_atom_site_fract_z
Li1 Li 0.0000 0.0000 0.0000
V1 V 0.0000 0.0000 0.5000
H1 H 0.0000 0.0000 0.2389
```

Output
- magnetization (μB/cell) = 0.00
- excess energy over the best structure of this formula in the dataset (meV/atom) = 0.0
- uncorrected energy (eV per atom) = -4.636



# 6
Computed, not measured: a geometry-optimized TaCo2H2 structure at the PBE level of DFT.

Geometry as CIF:
```
data_TaCo2H2
_symmetry_space_group_name_H-M 'P 4/m b m'
_symmetry_Int_Tables_number 127
_symmetry_space_group_name_Hall '-P 4 2ab'
_cell_length_a 5.166
_cell_length_b 5.166
_cell_length_c 3.466
_cell_angle_alpha 90.00
_cell_angle_beta 90.00
_cell_angle_gamma 90.00
loop_
_atom_site_label
_atom_site_type_symbol
_atom_site_fract_x
_atom_site_fract_y
_atom_site_fract_z
Ta1 Ta 0.000 0.000 0.000
Co1 Co 0.164 0.336 0.500
H1 H 0.139 0.361 0.000
```

Output
- magnetization (μB/cell) = 2.25
- excess energy over the best structure of this formula in the dataset (meV/atom) = 117.1
- uncorrected energy (eV per atom) = -6.526



# 7
Computed, not measured: a geometry-optimized DyTl2SnSe4 structure at the PBE level of DFT.

Geometry as CIF:
```
data_DyTl2SnSe4
_symmetry_space_group_name_H-M 'P 1 2/m 1'
_symmetry_Int_Tables_number 10
_cell_length_a 7.365
_cell_length_b 4.127
_cell_length_c 8.056
_cell_angle_alpha 90.00
_cell_angle_beta 107.26
_cell_angle_gamma 90.00
loop_
_symmetry_equiv_pos_as_xyz
'x,y,z'
'-x,-y,-z'
'-x,y,-z'
'x,-y,z'
loop_
_atom_site_label
_atom_site_type_symbol
_atom_site_fract_x
_atom_site_fract_y
_atom_site_fract_z
Dy1 Dy 0.000 0.000 0.000
Tl1 Tl 0.000 0.500 0.500
Tl2 Tl 0.500 0.000 0.500
Sn1 Sn 0.500 0.500 0.000
Se1 Se 0.234 0.500 0.205
Se2 Se 0.261 0.000 0.792
```

Output
- magnetization (μB/cell) = 0.00
- uncorrected energy (eV per atom) = -4.287
- energy relative to the elements, uncorrected (eV/atom) = -0.88



Look up the uncorrected energy of the sixth one.
-6.526 eV per atom



Look up the magnetization of the first one.
0.00 μB/cell



uncorrected energy of number 1 (La3PRh)?
-5.862 eV per atom